This record from Alexandria via LeMat-Bulk describes an optimized crystal structure of La2As2N. The functional is PBE.

Unit cell a=7.0947 b=7.0947 c=4.7863 alpha=90.00 beta=90.00 gamma=90.00
Fractional coordinates of all 10 atoms:
As  0.8819  0.3819  0.5000
As  0.1181  0.6181  0.5000
La  0.6899  0.1899  0.0000
As  0.3819  0.1181  0.5000
La  0.1899  0.3101  0.0000
As  0.6181  0.8819  0.5000
N  0.0000  0.0000  0.0000
La  0.3101  0.8101  0.0000
N  0.5000  0.5000  0.0000
La  0.8101  0.6899  0.0000

Values from the calculation:
**SG**: P4/mbm, No. 127
**Relative energy among the computed polymorphs**: 0.00 eV/f.u.
**Formation energy from raw total energies**: -0.81 eV/atom



This record from Alexandria via LeMat-Bulk describes an optimized crystal structure of IrC2. The functional is PBE.

Unit cell a=3.6733 b=3.6733 c=10.4382 alpha=90.00 beta=90.00 gamma=120.00
Fractional coordinates of all 12 atoms:
C  0.0000  0.0000  0.0000
Ir  0.3333  0.6667  0.5946
C  0.0000  0.0000  0.5000
C  0.7344  0.8672  0.7500
C  0.8672  0.7344  0.2500
Ir  0.3333  0.6667  0.9054
C  0.1328  0.2656  0.7500
Ir  0.6667  0.3333  0.0946
C  0.8672  0.1328  0.2500
C  0.2656  0.1328  0.2500
Ir  0.6667  0.3333  0.4054
C  0.1328  0.8672  0.7500

Values from the calculation:
**SG**: P6_3/mmc, No. 194
**Relative energy among the computed polymorphs**: 2.58 eV/f.u.
**ΔE_f**: 420 kJ/mol of formula units



This record from Alexandria via LeMat-Bulk describes an optimized crystal structure of Cs3AgBi. The functional is PBE.

Unit cell a=7.4308 b=7.4308 c=7.4308 alpha=90.00 beta=90.00 gamma=90.00
Last column: magnetic moment on the atom in μB.
Fractional coordinates of all 5 atoms:
Cs  0.0000  0.0000  0.5000  0.03
Bi  0.0000  0.0000  0.0000  0.52
Ag  0.5000  0.5000  0.5000  0.00
Cs  0.0000  0.5000  0.0000  0.02
Cs  0.5000  0.0000  0.0000  0.01

Values from the calculation:
**SG**: Pm-3m, No. 221
**Relative energy among the computed polymorphs**: 1.40 eV/f.u.
**ΔE_f**: 21 kJ/mol of formula units



This record from Alexandria via LeMat-Bulk describes an optimized crystal structure of Ac2PmHgSe5. The functional is PBE.

Unit cell a=4.3096 b=9.3698 c=13.1040 alpha=90.00 beta=90.00 gamma=103.30
Fractional coordinates of all 18 atoms:
Se  0.5017  0.0035  0.2709
Ac  0.1207  0.2414  0.6855
Hg  0.4574  0.9148  0.4634
Se  0.4983  0.9965  0.7709
Pm  0.1946  0.3892  0.0048
Se  0.0418  0.0837  0.0854
Se  0.6939  0.3877  0.8450
Ac  0.8693  0.7386  0.8070
Se  0.9582  0.9163  0.5854
Ac  0.8793  0.7586  0.1855
Se  0.7068  0.4136  0.1620
Se  0.6444  0.2888  0.5000
Hg  0.5426  0.0852  0.9634
Se  0.2932  0.5864  0.6620
Se  0.3556  0.7112  0.0000
Pm  0.8054  0.6108  0.5048
Ac  0.1307  0.2614  0.3070
Se  0.3061  0.6123  0.3450

Values from the calculation:
**SG**: Cmc2_1, No. 36
**Formation energy from raw total energies**: -1.58 eV/atom



This record from Alexandria via LeMat-Bulk describes an optimized crystal structure of HfInCo2Br. The functional is PBE.

Unit cell a=4.3237 b=5.5367 c=4.3237 alpha=90.00 beta=90.00 gamma=90.00
Last column: magnetic moment on the atom in μB.
Fractional coordinates of all 5 atoms:
Co  0.0000  0.0000  0.5000  0.95
In  0.0000  0.5000  0.0000  0.03
Co  0.5000  0.0000  0.0000  0.98
Hf  0.5000  0.5000  0.5000  -0.04
Br  0.0000  0.0000  0.0000  0.03

Values from the calculation:
**SG**: P4/mmm, No. 123
**Formation energy from raw total energies**: 1.04 eV/atom



This record from Alexandria via LeMat-Bulk describes an optimized crystal structure of NaCd. The functional is PBE.

Unit cell a=5.3605 b=9.9522 c=5.9746 alpha=90.00 beta=90.00 gamma=90.00
Fractional coordinates of all 12 atoms:
Na  0.5000  0.1667  0.6615
Na  0.5000  0.6667  0.1615
Cd  0.0000  0.8333  0.3392
Na  0.5000  0.0000  0.1614
Cd  0.0000  0.6667  0.8392
Cd  0.0000  0.3333  0.8392
Cd  0.0000  0.5000  0.3392
Cd  0.0000  0.0000  0.8392
Na  0.5000  0.3333  0.1615
Cd  0.0000  0.1667  0.3392
Na  0.5000  0.8333  0.6615
Na  0.5000  0.5000  0.6614

Values from the calculation:
**SG**: Amm2, No. 38
**ΔE_f**: -6 kJ/mol of formula units